<w>
# CsNaU

A relaxed CsNaU crystal (PBE, OQMD via LeMat-Bulk).

Summary:
The density comes out at 3.8 g/cm³. The size of the total moment comes out at 4.689 μB per formula unit.

Cell lengths 8.7933, 8.7933, 8.7933 Å; angles 90.00, 90.00, 90.00 degrees
Space group F-43m (No. 216)
One atom of each set of equivalent atoms:
Cs1 0.0000 0.0000 0.0000 (multiplicity 4)
Na1 0.0000 0.0000 0.5000 (multiplicity 4)
U1 0.2500 0.2500 0.2500 (multiplicity 4)


<x>
# CsNaU

A relaxed CsNaU crystal (PBE, OQMD via LeMat-Bulk).

Summary:
The density comes out at 4.4 g/cm³. The size of the total moment comes out at 4.669 μB per formula unit.

Cell lengths 8.3807, 8.3807, 8.3807 Å; angles 90.00, 90.00, 90.00 degrees
Space group F-43m (No. 216)
One atom of each set of equivalent atoms:
Cs1 0.0000 0.0000 0.0000 (multiplicity 4)
Na1 0.2500 0.2500 0.7500 (multiplicity 4)
U1 0.2500 0.2500 0.2500 (multiplicity 4)


Relative energies in meV per atom: <w> 0; <x> 74


<w>
# CsNbPO

A relaxed CsNbPO crystal (PBE, OQMD via LeMat-Bulk).

Summary:
The density comes out at 4.3 g/cm³. The size of the total moment comes out at 0.004 μB per formula unit.

Cell lengths 4.2042, 4.2042, 12.0105 Å; angles 90.00, 90.00, 90.00 degrees
Space group P4/nmm (No. 129, origin choice 2)
One atom of each set of equivalent atoms:
Cs1 0.2500 0.2500 0.1571 (multiplicity 2)
Nb1 0.2500 0.7500 0.5000 (multiplicity 2)
P1 0.2500 0.2500 0.6110 (multiplicity 2)
O1 0.2500 0.7500 0.0000 (multiplicity 2)


<x>
# CsNbPO

A relaxed CsNbPO crystal (PBE, OQMD via LeMat-Bulk).

Summary:
The density comes out at 4.3 g/cm³. The size of the total moment comes out at 0.016 μB per formula unit.

Cell lengths 4.2960, 4.2960, 11.3738 Å; angles 90.00, 90.00, 90.00 degrees
Space group P4/nmm (No. 129, origin choice 2)
One atom of each set of equivalent atoms:
Cs1 0.2500 0.2500 0.1612 (multiplicity 2)
Nb1 0.2500 0.7500 0.5000 (multiplicity 2)
P1 0.2500 0.2500 0.6101 (multiplicity 2)
O1 0.2500 0.7500 0.0000 (multiplicity 2)


<y>
# CsNbPO

A relaxed CsNbPO crystal (PBE, OQMD via LeMat-Bulk).

Summary:
The density comes out at 4.4 g/cm³. The size of the total moment comes out at 0.047 μB per formula unit.

Cell lengths 3.5785, 7.8297, 7.3966 Å; angles 90.00, 90.00, 90.00 degrees
Space group Pmc2_1 (No. 26)
One atom of each set of equivalent atoms:
Cs1 0.0000 0.1972 0.0000 (multiplicity 2)
Nb1 0.5000 0.3158 0.4741 (multiplicity 2)
P1 0.5000 0.4879 0.7355 (multiplicity 2)
O1 0.0000 0.1988 0.4579 (multiplicity 2)


<z>
# CsNbPO

A relaxed CsNbPO crystal (PBE, OQMD via LeMat-Bulk).

Summary:
The density comes out at 4.2 g/cm³. The size of the total moment comes out at 0.583 μB per formula unit.

Cell lengths 3.8470, 8.3358, 6.7662 Å; angles 90.00, 90.00, 90.00 degrees
Space group Pmc2_1 (No. 26)
One atom of each set of equivalent atoms:
Cs1 0.0000 0.1722 0.0000 (multiplicity 2)
Nb1 0.5000 0.4055 0.5572 (multiplicity 2)
P1 0.0000 0.2404 0.4956 (multiplicity 2)
O1 0.5000 0.4295 0.8492 (multiplicity 2)


Relative energies in meV per atom: <w> 847; <x> 863; <y> 47; <z> 0


<w>
# CsPaNb

A relaxed CsPaNb crystal (PBE, OQMD via LeMat-Bulk).

Summary:
The density comes out at 9.1 g/cm³. The size of the total moment comes out at 0.006 μB per formula unit.

Cell lengths 6.9225, 6.9225, 6.9225 Å; angles 90.00, 90.00, 90.00 degrees
Space group F-43m (No. 216)
One atom of each set of equivalent atoms:
Cs1 0.0000 0.0000 0.0000 (multiplicity 4)
Pa1 0.2500 0.2500 0.2500 (multiplicity 4)
Nb1 0.2500 0.2500 0.7500 (multiplicity 4)


<x>
# CsPaNb

A relaxed CsPaNb crystal (PBE, OQMD via LeMat-Bulk).

Summary:
The density comes out at 8.3 g/cm³. The size of the total moment comes out at 0.112 μB per formula unit.

Cell lengths 7.1400, 7.1400, 7.1400 Å; angles 90.00, 90.00, 90.00 degrees
Space group F-43m (No. 216)
One atom of each set of equivalent atoms:
Cs1 0.0000 0.0000 0.0000 (multiplicity 4)
Pa1 0.0000 0.0000 0.5000 (multiplicity 4)
Nb1 0.2500 0.2500 0.2500 (multiplicity 4)


Relative energies in meV per atom: <w> 493; <x> 0


<w>
# CsNbRe

A relaxed CsNbRe crystal (PBE, OQMD via LeMat-Bulk).

Summary:
The density comes out at 9.4 g/cm³. The size of the total moment comes out at 0.475 μB per formula unit.

Cell lengths 6.6309, 6.6309, 6.6309 Å; angles 90.00, 90.00, 90.00 degrees
Space group F-43m (No. 216)
One atom of each set of equivalent atoms:
Cs1 0.0000 0.0000 0.0000 (multiplicity 4)
Nb1 0.2500 0.2500 0.2500 (multiplicity 4)
Re1 0.0000 0.0000 0.5000 (multiplicity 4)


<x>
# CsNbRe

A relaxed CsNbRe crystal (PBE, OQMD via LeMat-Bulk).

Summary:
The density comes out at 10.2 g/cm³. The size of the total moment comes out at 0.006 μB per formula unit.

Cell lengths 6.4576, 6.4576, 6.4576 Å; angles 90.00, 90.00, 90.00 degrees
Space group F-43m (No. 216)
One atom of each set of equivalent atoms:
Cs1 0.0000 0.0000 0.0000 (multiplicity 4)
Nb1 0.2500 0.2500 0.7500 (multiplicity 4)
Re1 0.2500 0.2500 0.2500 (multiplicity 4)


Relative energies in meV per atom: <w> 0; <x> 1002


<w>
# CsNbSb

A relaxed CsNbSb crystal (PBE, OQMD via LeMat-Bulk).

Summary:
The density comes out at 4.9 g/cm³. The size of the total moment comes out at 3.000 μB per formula unit.

Cell lengths 7.7658, 7.7658, 7.7658 Å; angles 90.00, 90.00, 90.00 degrees
Space group F-43m (No. 216)
One atom of each set of equivalent atoms:
Cs1 0.0000 0.0000 0.0000 (multiplicity 4)
Nb1 0.2500 0.2500 0.7500 (multiplicity 4)
Sb1 0.2500 0.2500 0.2500 (multiplicity 4)


<x>
# CsNbSb

A relaxed CsNbSb crystal (PBE, OQMD via LeMat-Bulk).

Summary:
The density comes out at 6.4 g/cm³. The size of the total moment comes out at 2.696 μB per formula unit.

Cell lengths 7.1353, 7.1353, 7.1353 Å; angles 90.00, 90.00, 90.00 degrees
Space group F-43m (No. 216)
One atom of each set of equivalent atoms:
Cs1 0.0000 0.0000 0.0000 (multiplicity 4)
Nb1 0.2500 0.2500 0.2500 (multiplicity 4)
Sb1 0.0000 0.0000 0.5000 (multiplicity 4)


Relative energies in meV per atom: <w> 809; <x> 0


<w>
# CsNbSi

A relaxed CsNbSi crystal (PBE, OQMD via LeMat-Bulk).

Summary:
The density comes out at 4.6 g/cm³. The size of the total moment comes out at 2.136 μB per formula unit.

Cell lengths 7.1349, 7.1349, 7.1349 Å; angles 90.00, 90.00, 90.00 degrees
Space group F-43m (No. 216)
One atom of each set of equivalent atoms:
Cs1 0.0000 0.0000 0.0000 (multiplicity 4)
Nb1 0.2500 0.2500 0.7500 (multiplicity 4)
Si1 0.2500 0.2500 0.2500 (multiplicity 4)


<x>
# CsNbSi

A relaxed CsNbSi crystal (PBE, OQMD via LeMat-Bulk).

Summary:
The density comes out at 4.7 g/cm³. The size of the total moment comes out at 2.001 μB per formula unit.

Cell lengths 7.1274, 7.1274, 7.1274 Å; angles 90.00, 90.00, 90.00 degrees
Space group F-43m (No. 216)
One atom of each set of equivalent atoms:
Cs1 0.0000 0.0000 0.0000 (multiplicity 4)
Nb1 0.0000 0.0000 0.5000 (multiplicity 4)
Si1 0.2500 0.2500 0.2500 (multiplicity 4)


Relative energies in meV per atom: <w> 782; <x> 0